This record from Alexandria via LeMat-Bulk describes an optimized crystal structure of LaGdPdRh. The functional is PBE-GGA.

Lattice parameters (Å, degrees): 7.1386 7.1386 7.1386 90.00 90.00 90.00
Closest atoms and distances in Å follow each position.
Space group F-43m (No. 216)
Inequivalent atoms, fractional coordinates:
1 La 0.0000 0.0000 0.0000  4 Rh 3.09, 4 Pd 3.09
2 Gd 0.0000 0.0000 0.5000  4 Rh 3.09, 4 Pd 3.09
3 Pd 0.2500 0.2500 0.2500  4 Gd 3.09, 4 La 3.09
4 Rh 0.2500 0.2500 0.7500  4 Gd 3.09, 4 La 3.09

Calculated formation energy (eV/atom): -0.756
Theoretical density (g/cm3): 9.23
Magnetic moment (μB/f.u.): 7.05
N(E_F) (states/eV/atom): 0.716

---

This record from Alexandria via LeMat-Bulk describes an optimized crystal structure of LiAc2DyHg6. The functional is PBE-GGA.

Lattice parameters (Å, degrees): 6.5403 6.9972 7.1517 71.76 67.13 82.44
Closest atoms and distances in Å follow each position.
Space group P-1 (No. 2)
Inequivalent atoms, fractional coordinates:
1 Li 0.0000 0.0000 0.0000  2 Hg 2.48
2 Ac 0.3090 0.2056 0.1736  6 Hg 3.31-3.59, 1 Li 3.40
3 Dy 0.5000 0.5000 0.5000  6 Hg 2.97-3.11
4 Hg 0.1314 0.6963 0.3253  1 Li 2.94, 3 Hg 3.10-3.22, 1 Dy 3.11
5 Hg 0.1938 0.6470 0.8765  1 Li 2.86, 3 Hg 3.05-3.20, 1 Dy 3.05
6 Hg 0.3181 0.0888 0.6567  1 Li 2.48

Calculated formation energy (eV/atom): -0.306
Theoretical density (g/cm3): 10.59
Magnetic moment (μB/f.u.): 0.00
N(E_F) (states/eV/atom): 0.657

---

This record from Alexandria via LeMat-Bulk describes an optimized crystal structure of MgScP2. The functional is PBE-GGA.

Lattice parameters (Å, degrees): 4.0249 5.1918 6.8577 90.00 90.00 90.00
Closest atoms and distances in Å follow each position.
Space group Immm (No. 71)
Inequivalent atoms, fractional coordinates:
1 Mg 0.0000 0.0000 0.0000  4 P 2.60
2 Sc 0.0000 0.0000 0.5000  4 P 2.69
3 P 0.0000 0.5000 0.2601  2 Mg 2.60, 2 Sc 2.69

Calculated formation energy (eV/atom): -0.590
Theoretical density (g/cm3): 3.04
Magnetic moment (μB/f.u.): 0.00
N(E_F) (states/eV/atom): 0.328

---

This record from Alexandria via LeMat-Bulk describes an optimized crystal structure of Mg2TlZn2. The functional is PBE-GGA.

Lattice parameters (Å, degrees): 4.3106 4.3106 12.1837 90.00 90.00 90.00
Closest atoms and distances in Å follow each position.
Space group I4/mmm (No. 139)
Inequivalent atoms, fractional coordinates:
1 Mg 0.0000 0.5000 0.2500  4 Zn 2.81, 4 Mg 3.05
2 Tl 0.0000 0.0000 0.0000  8 Zn 3.29
3 Zn 0.0000 0.0000 0.3984  1 Zn 2.47

Calculated formation energy (eV/atom): 0.089
Theoretical density (g/cm3): 5.63
Magnetic moment (μB/f.u.): 0.00
N(E_F) (states/eV/atom): 0.420

---

This record from Alexandria via LeMat-Bulk describes an optimized crystal structure of In3IrCl. The functional is PBE-GGA.

Lattice parameters (Å, degrees): 4.0874 4.0874 8.0396 90.00 90.00 90.00
Closest atoms and distances in Å follow each position.
Space group P4mm (No. 99)
Inequivalent atoms, fractional coordinates:
1 In 0.0000 0.0000 0.0000  1 Cl 2.53
2 In 0.0000 0.5000 0.6526  2 Ir 2.75, 4 In 2.89
3 Ir 0.5000 0.5000 0.8812  8 In 2.75-3.04
4 Cl 0.0000 0.0000 0.3143  1 In 2.53

Formation energy (no corrections) (eV per atom): 0.008
Theoretical density (g/cm3): 7.07
Magnetic moment (μB/f.u.): 0.00
N(E_F) (states/eV/atom): 0.359

---

This record from Alexandria via LeMat-Bulk describes an optimized crystal structure of ReAgAu2. The functional is PBE-GGA.

Lattice parameters (Å, degrees): 2.8755 2.8755 28.3965 90.00 90.00 120.00
Closest atoms and distances in Å follow each position.
Space group R-3m (No. 166, hexagonal axes)
Inequivalent atoms, fractional coordinates:
1 Re 0.0000 0.0000 0.0000  6 Au 2.83, 6 Re 2.88
2 Ag 0.0000 0.0000 0.5000  6 Ag 2.88, 6 Au 2.95
3 Au 0.0000 0.0000 0.2526  3 Re 2.83, 6 Au 2.88, 3 Ag 2.95

Calculated formation energy (eV/atom): 0.332
Theoretical density (g/cm3): 16.86
Magnetic moment (μB/f.u.): 0.36
N(E_F) (states/eV/atom): 1.100